[1]
# KNaGaAu2, optimized geometry, DFT PBE
data_KNaGaAu2
_chemical_formula_sum 'K1 Na1 Ga1 Au2'
_space_group_name_H-M_alt 'P 4/m m m'
_space_group_IT_number 123
_space_group_name_Hall '-P 4 2'
_cell_length_a 5.037
_cell_length_b 5.037
_cell_length_c 5.458
_cell_angle_alpha 90.00
_cell_angle_beta 90.00
_cell_angle_gamma 90.00
loop_
_atom_site_label
_atom_site_type_symbol
_atom_site_fract_x
_atom_site_fract_y
_atom_site_fract_z
K1 K 0.000 0.000 0.000
Na1 Na 0.500 0.500 0.000
Ga1 Ga 0.500 0.500 0.500
Au1 Au 0.000 0.500 0.500
# Crystal system ... tetragonal
# Final energy ... -2.577 eV per atom
# Relative energy among the computed polymorphs ... 0.0954 eV/atom
# Formation enthalpy at 0 K ... -86 kJ/mol of formula units

---

[2]
# K2NaGaAu2, optimized geometry, DFT PBE
data_K2NaGaAu2
_chemical_formula_sum 'K4 Na2 Ga2 Au4'
_space_group_name_H-M_alt 'P m c 21'
_space_group_IT_number 26
_cell_length_a 4.945
_cell_length_b 8.462
_cell_length_c 8.186
_cell_angle_alpha 90.00
_cell_angle_beta 90.00
_cell_angle_gamma 90.00
loop_
_space_group_symop_operation_xyz
'x,y,z'
'-x,-y,z+1/2'
'-x,y,z'
'x,-y,z+1/2'
loop_
_atom_site_label
_atom_site_type_symbol
_atom_site_fract_x
_atom_site_fract_y
_atom_site_fract_z
K1 K 0.000 0.139 0.000
K2 K 0.500 0.155 0.340
Na1 Na 0.500 0.464 0.015
Ga1 Ga 0.000 0.321 0.627
Au1 Au 0.000 0.430 0.319
Au2 Au 0.500 0.233 0.720
# Crystal system ... orthorhombic
# Final energy ... -2.441 eV per atom
# Formation enthalpy at 0 K ... -149 kJ/mol of formula units

---

[3]
# KNaGaAu2, optimized geometry, DFT PBE
data_KNaGaAu2
_chemical_formula_sum 'K2 Na2 Ga2 Au4'
_space_group_name_H-M_alt 'I -4 m 2'
_space_group_IT_number 119
_space_group_name_Hall 'I -4 -2'
_cell_length_a 4.815
_cell_length_b 4.815
_cell_length_c 10.987
_cell_angle_alpha 90.00
_cell_angle_beta 90.00
_cell_angle_gamma 90.00
loop_
_atom_site_label
_atom_site_type_symbol
_atom_site_fract_x
_atom_site_fract_y
_atom_site_fract_z
K1 K 0.000 0.000 0.000
Na1 Na 0.000 0.500 0.250
Ga1 Ga 0.000 0.500 0.750
Au1 Au 0.000 0.000 0.374
# Crystal system ... tetragonal
# Final energy ... -2.672 eV per atom
# Relative energy among the computed polymorphs ... 0.0000 eV/atom
# Formation enthalpy at 0 K ... -132 kJ/mol of formula units

---

[4]
# KNaGa2Au2, optimized geometry, DFT PBE
data_KNaGa2Au2
_chemical_formula_sum 'K1 Na1 Ga2 Au2'
_space_group_name_H-M_alt 'P -3 m 1'
_space_group_IT_number 164
_space_group_name_Hall '-P 3 2"'
_cell_length_a 4.6638
_cell_length_b 4.6638
_cell_length_c 7.8570
_cell_angle_alpha 90.00
_cell_angle_beta 90.00
_cell_angle_gamma 120.00
loop_
_atom_site_label
_atom_site_type_symbol
_atom_site_fract_x
_atom_site_fract_y
_atom_site_fract_z
K1 K 0.0000 0.0000 0.0000
Na1 Na 0.0000 0.0000 0.5000
Ga1 Ga 0.3333 0.6667 0.3210
Au1 Au 0.3333 0.6667 0.6816
# Crystal system ... trigonal
# Final energy ... -2.817 eV per atom
# Formation enthalpy at 0 K ... -181 kJ/mol of formula units

---

[5]
# KNaGa2Au, optimized geometry, DFT PBE
data_KNaGa2Au
_chemical_formula_sum 'K1 Na1 Ga2 Au1'
_space_group_name_H-M_alt 'P 4/m m m'
_space_group_IT_number 123
_space_group_name_Hall '-P 4 2'
_cell_length_a 5.054
_cell_length_b 5.054
_cell_length_c 5.648
_cell_angle_alpha 90.00
_cell_angle_beta 90.00
_cell_angle_gamma 90.00
loop_
_atom_site_label
_atom_site_type_symbol
_atom_site_fract_x
_atom_site_fract_y
_atom_site_fract_z
K1 K 0.000 0.000 0.000
Na1 Na 0.500 0.500 0.000
Ga1 Ga 0.000 0.500 0.500
Au1 Au 0.500 0.500 0.500
# Crystal system ... tetragonal
# Final energy ... -2.437 eV per atom
# Formation enthalpy at 0 K ... -42 kJ/mol of formula units

---

[6]
# K2GaAuO4, optimized geometry, DFT PBE
data_K2GaAuO4
_chemical_formula_sum 'K4 Ga2 Au2 O8'
_space_group_name_H-M_alt 'I -4'
_space_group_IT_number 82
_cell_length_a 6.187
_cell_length_b 6.187
_cell_length_c 6.670
_cell_angle_alpha 90.00
_cell_angle_beta 90.00
_cell_angle_gamma 90.00
loop_
_space_group_symop_operation_xyz
'x,y,z'
'y,-x,-z'
'-x,-y,z'
'-y,x,-z'
'x+1/2,y+1/2,z+1/2'
'y+1/2,-x+1/2,-z+1/2'
'-x+1/2,-y+1/2,z+1/2'
'-y+1/2,x+1/2,-z+1/2'
loop_
_atom_site_label
_atom_site_type_symbol
_atom_site_fract_x
_atom_site_fract_y
_atom_site_fract_z
K1 K 0.000 0.000 0.000
K2 K 0.000 0.500 0.250
Ga1 Ga 0.000 0.000 0.500
Au1 Au 0.000 0.500 0.750
O1 O 0.135 0.204 0.673
# Crystal system ... tetragonal
# Final energy ... -4.692 eV per atom
# Uncorrected formation energy ... -1151 meV per atom

---

[7]
# K2Ga3PbAu12, optimized geometry, DFT PBE
data_K2Ga3PbAu12
_chemical_formula_sum 'K6 Ga9 Pb3 Au36'
_space_group_name_H-M_alt 'R -3 m'
_space_group_IT_number 166
_space_group_name_Hall '-R 3 2"'
_cell_length_a 7.1216
_cell_length_b 7.1216
_cell_length_c 29.9048
_cell_angle_alpha 90.00
_cell_angle_beta 90.00
_cell_angle_gamma 120.00
loop_
_atom_site_label
_atom_site_type_symbol
_atom_site_fract_x
_atom_site_fract_y
_atom_site_fract_z
K1 K 0.0000 0.0000 0.1516
Ga1 Ga 0.0000 0.5000 0.0000
Pb1 Pb 0.0000 0.0000 0.5000
Au1 Au 0.0581 0.5290 0.0892
Au2 Au 0.0677 0.5339 0.6228
# Crystal system ... trigonal
# Final energy ... -3.090 eV per atom
# Formation enthalpy at 0 K ... -126 kJ/mol of formula units

---

[8]
# K2Ga3PbAu4, optimized geometry, DFT PBE
data_K2Ga3PbAu4
_chemical_formula_sum 'K2 Ga3 Pb1 Au4'
_space_group_name_H-M_alt 'P -4 m 2'
_space_group_IT_number 115
_cell_length_a 4.751
_cell_length_b 4.751
_cell_length_c 10.906
_cell_angle_alpha 90.00
_cell_angle_beta 90.00
_cell_angle_gamma 90.00
loop_
_space_group_symop_operation_xyz
'x,y,z'
'y,-x,-z'
'-x,-y,z'
'-y,x,-z'
'-x,y,z'
'-y,-x,-z'
'x,-y,z'
'y,x,-z'
loop_
_atom_site_label
_atom_site_type_symbol
_atom_site_fract_x
_atom_site_fract_y
_atom_site_fract_z
K1 K 0.000 0.500 0.238
Ga1 Ga 0.000 0.500 0.890
Ga2 Ga 0.500 0.500 0.500
Pb1 Pb 0.000 0.000 0.500
Au1 Au 0.000 0.000 0.000
Au2 Au 0.000 0.500 0.652
Au3 Au 0.500 0.500 0.000
# Crystal system ... tetragonal
# Final energy ... -3.086 eV per atom
# Formation enthalpy at 0 K ... -267 kJ/mol of formula units